A relaxed structure of NaTlMoO4, computed with GGA+U.

extended XYZ file:
```
14
Lattice="6.4157 0.0000 0.0000 0.0000 6.3211 0.0000 -1.6575 0.0000 7.1204" Properties=species:S:1:pos:R:3 pbc="T T T"
Na 1.0799 1.5803 0.4345
Na 3.6783 4.7408 6.6860
Tl 0.7882 1.5803 4.1906
Tl 3.9700 4.7408 2.9299
Mo 0.4430 4.7408 6.1319
Mo 4.3152 1.5803 0.9886
O -0.6202 3.2982 5.8840
O -0.6202 6.1835 5.8840
O 2.7555 4.7408 0.6778
O 1.8284 4.7408 4.9887
O 2.9297 1.5803 2.1317
O 2.0026 1.5803 6.4427
O 5.3784 0.1376 1.2364
O 5.3784 3.0229 1.2364
```

Spin magnetization (Bohr magnetons per cell): 0.0
Final energy (eV per atom): -5.924
Space group: P2_1/m, No. 11